The following is a DFT calculation (PBE-GGA) of a relaxed NdHoCo crystal.

Computed properties:
Energy above the lowest structure with this stoichiometry (eV per atom): 0.000
Calculated formation energy (eV per atom): -0.11
Space-group type: No. 12

a b c (Å): 3.7831 6.0507 7.1323
angles (deg): 90.51 74.62 71.78
Closest atoms and distances in Å follow each position.
Atoms (fractional coordinates):
1 Nd 0.5804 0.2365 0.6027  2 Co 2.75
2 Nd 0.4196 0.7635 0.3973  2 Co 2.75
3 Ho 0.2941 0.2853 0.1265  4 Co 2.77-2.94
4 Ho 0.7059 0.7147 0.8735  4 Co 2.77-2.94
5 Co 0.0184 0.1037 0.8594  1 Co 2.37
6 Co 0.9816 0.8963 0.1406  1 Co 2.37